# ZrTaRu (GGA-PBEsol, relaxed)
# DOS(E_F), states/eV/atom: 0.903
# Formation energy, eV per atom: 0.010
# V, Å³/cell: 53.0
# Total moment, μB/atom: 0.000
# ΔE to the lowest computed polymorph, meV/atom: 363.5
data_ZrTaRu
_cell_length_a 3.0608
_cell_length_b 3.0608
_cell_length_c 6.5310
_cell_angle_alpha 90.00
_cell_angle_beta 90.00
_cell_angle_gamma 120.00
_symmetry_space_group_name_H-M 'P 3 m 1'
_symmetry_Int_Tables_number 156
_symmetry_space_group_name_Hall 'P 3 -2"'
loop_
_atom_site_label
_atom_site_fract_x
_atom_site_fract_y
_atom_site_fract_z
Zr1 0.0000 0.0000 0.0000
Ta1 0.6667 0.3333 0.3668
Ru1 0.3333 0.6667 0.6666


# TbRu2 (GGA-PBEsol, relaxed)
# DOS(E_F), states/eV/atom: 1.185
# Formation energy, eV per atom: -0.262
# V, Å³/cell: 206.3
# Total moment, μB/atom: 0.000
data_TbRu2
_cell_length_a 5.1982
_cell_length_b 5.1982
_cell_length_c 8.8143
_cell_angle_alpha 90.00
_cell_angle_beta 90.00
_cell_angle_gamma 120.00
_symmetry_space_group_name_H-M 'P 63/m m c'
_symmetry_Int_Tables_number 194
_symmetry_space_group_name_Hall '-P 6c 2c'
loop_
_atom_site_label
_atom_site_fract_x
_atom_site_fract_y
_atom_site_fract_z
Tb1 0.3333 0.6667 0.0666
Ru1 0.0000 0.0000 0.0000
Ru2 0.1700 0.3399 0.7500